# AcTb2Ni

A relaxed structure of AcTb2Ni (PBE-GGA, the Alexandria database).

The structure belongs to space group P2_1/m (No. 11); the cell edges are 3.800, 9.901 and 6.462 Å and the angles 90.00°, 106.97° and 90.00°. The inequivalent atoms are Ac at (0.083, 0.250, 0.167), Tb at (0.358, 0.072, 0.718) and Ni at (0.227, 0.750, 0.452).

As for the calculated total energy: -39.61 eV for the cell shown. The theoretical density comes out at 8.62 g/cm3. The energy of formation is -0.164 eV per atom. As for the polymorph energy (0 for the lowest one): 0.00 eV per formula unit. The value obtained for the density of states at the Fermi level is 5.53 states/eV/f.u.

=====

# BaZnHg2Ir

A relaxed structure of BaZnHg2Ir (PBE-GGA, the Alexandria database).

The structure belongs to space group P4/mmm (No. 123); the cell edges are 5.323, 5.323 and 4.904 Å and the angles 90.00°, 90.00° and 90.00°. The inequivalent atoms are Ba at (0.000, 0.000, 0.000), Zn at (0.500, 0.500, 0.000), Hg at (0.000, 0.500, 0.500) and Ir at (0.500, 0.500, 0.500).

As for the calculated total energy: -13.79 eV for the cell shown. The theoretical density comes out at 9.51 g/cm3. The energy of formation is -0.225 eV per atom. The value obtained for the density of states at the Fermi level is 2.53 states/eV/f.u.

=====

| no. | magnetization (μB per formula unit) |
| --- | --- |
| 1 | 0.00 |
| 2 | 0.00 |